Entry 1:
This record from OQMD describes a geometry-optimized PrZr structure. The functional is PBE.

The structure in CIF format:
```
data_PrZr
_symmetry_space_group_name_H-M 'P 1'
_symmetry_Int_Tables_number 1
_symmetry_space_group_name_Hall 'P 1'
_cell_length_a 9.464
_cell_length_b 6.798
_cell_length_c 5.444
_cell_angle_alpha 90.00
_cell_angle_beta 90.00
_cell_angle_gamma 94.17
loop_
_atom_site_label
_atom_site_fract_x
_atom_site_fract_y
_atom_site_fract_z
_atom_site_occupancy
Zr1 0.935 0.272 0.500 1
Pr1 0.660 0.659 0.000 1
Zr2 0.287 0.784 0.000 1
Pr2 0.502 0.893 0.500 1
Pr3 0.886 0.769 0.500 1
Zr3 0.196 0.035 0.500 1
Zr4 0.206 0.556 0.500 1
Zr5 0.026 0.020 0.000 1
Pr4 0.336 0.286 0.000 1
Zr6 0.016 0.500 0.000 1
Pr5 0.720 0.162 0.000 1
Pr6 0.562 0.397 0.500 1
```

Calculated values
excess energy over the best structure of this formula in the dataset: 39 meV/atom
formation enthalpy at 0 K: 0.136 eV per atom


Entry 2:
This record from OQMD describes a geometry-optimized NdNi2H6 structure. The functional is PBE.

The structure in CIF format:
```
data_NdNi2H6
_symmetry_space_group_name_H-M 'P 1'
_symmetry_Int_Tables_number 1
_symmetry_space_group_name_Hall 'P 1'
_cell_length_a 4.415
_cell_length_b 4.415
_cell_length_c 4.213
_cell_angle_alpha 90.00
_cell_angle_beta 90.00
_cell_angle_gamma 120.00
loop_
_atom_site_label
_atom_site_fract_x
_atom_site_fract_y
_atom_site_fract_z
_atom_site_occupancy
H1 0.500 0.000 0.257 1
H2 0.500 0.500 0.743 1
H3 0.500 0.500 0.257 1
H4 0.000 0.500 0.257 1
H5 0.500 0.000 0.743 1
Nd1 0.000 0.000 0.000 1
H6 0.000 0.500 0.743 1
Ni1 0.333 0.667 0.500 1
Ni2 0.667 0.333 0.500 1
```

Calculated values
VASP energy: -39.6 eV for the cell shown


Entry 3:
This record from OQMD describes a geometry-optimized GdErAg structure. The functional is PBE.

The structure in CIF format:
```
data_GdErAg
_symmetry_space_group_name_H-M 'P 1'
_symmetry_Int_Tables_number 1
_symmetry_space_group_name_Hall 'P 1'
_cell_length_a 4.911
_cell_length_b 4.911
_cell_length_c 4.911
_cell_angle_alpha 60.00
_cell_angle_beta 60.00
_cell_angle_gamma 60.00
loop_
_atom_site_label
_atom_site_fract_x
_atom_site_fract_y
_atom_site_fract_z
_atom_site_occupancy
Er1 0.750 0.750 0.750 1
Ag1 0.250 0.250 0.250 1
Gd1 0.000 0.000 0.000 1
```

Calculated values
formation enthalpy at 0 K: 0.583 eV per atom